Model w:
This record from the Alexandria database describes BaLa5 at its PBEsol-relaxed geometry. The functional is meta-GGA SCAN.

Computed properties:
magnetic moment: 0.00 μB/f.u.
space group: P4/mmm, No. 123

a b c (Å): 3.679 3.679 16.110
angles (deg): 90.00 90.00 90.00
Fractional positions:
La 0.500 0.500 0.343
La 0.000 0.000 0.805
La 0.500 0.500 0.657
La 0.000 0.000 0.195
Ba 0.500 0.500 0.000
La 0.000 0.000 0.500


Model x:
This record from the Alexandria database describes BaLa5 at its PBEsol-relaxed geometry. The functional is meta-GGA SCAN.

Computed properties:
magnetic moment: 0.00 μB/f.u.
space group: P-62m, No. 189

a b c (Å): 5.970 6.536 6.536
angles (deg): 120.00 90.00 90.00
Fractional positions:
La 0.500 0.667 0.333
La 0.500 0.333 0.667
Ba 0.500 0.000 0.000
La 0.000 0.375 0.375
La 0.000 0.625 0.000
La 0.000 0.000 0.625


Q: Which of them is the least stable? A: model x.


Model w:
This record from the Alexandria database describes BaLa2Pt at its PBEsol-relaxed geometry. The functional is meta-GGA SCAN.

Computed properties:
magnetic moment: 0.00 μB/f.u.
space group: R-3m, No. 166

a b c (Å): 4.218 4.218 10.272
angles (deg): 78.15 78.15 60.00
Fractional positions:
Pt 0.500 0.500 0.500
Ba 0.000 0.000 0.000
La 0.219 0.219 0.344
La 0.781 0.781 0.656


Model x:
This record from the Alexandria database describes BaLa2Pt at its PBEsol-relaxed geometry. The functional is meta-GGA SCAN.

Computed properties:
magnetic moment: 0.00 μB/f.u.
space group: P4mm, No. 99

a b c (Å): 3.762 3.762 9.108
angles (deg): 90.00 90.00 90.00
Fractional positions:
La 0.500 0.500 0.309
La 0.000 0.000 0.044
Ba 0.500 0.500 0.694
Pt 0.000 0.000 0.453


Q: Which of them is the least stable? A: model x.


Model w:
This record from the Alexandria database describes BaLaPt2 at its PBEsol-relaxed geometry. The functional is meta-GGA SCAN.

Computed properties:
magnetic moment: 0.00 μB/f.u.
space group: R-3m, No. 166

a b c (Å): 4.284 4.284 7.592
angles (deg): 73.61 73.61 60.00
Fractional positions:
Ba 0.000 0.000 0.000
La 0.500 0.500 0.500
Pt 0.240 0.240 0.281
Pt 0.760 0.760 0.719


Model x:
This record from the Alexandria database describes BaLaPt2 at its PBEsol-relaxed geometry. The functional is meta-GGA SCAN.

Computed properties:
magnetic moment: 0.00 μB/f.u.
space group: Amm2, No. 38

a b c (Å): 4.047 4.502 6.183
angles (deg): 90.00 109.11 90.00
Fractional positions:
Pt 0.056 0.500 0.113
Pt 0.212 0.000 0.423
Ba 0.481 0.000 0.963
La 0.750 0.500 0.501


Model y:
This record from the Alexandria database describes BaLaPt2 at its PBEsol-relaxed geometry. The functional is meta-GGA SCAN.

Computed properties:
magnetic moment: 0.00 μB/f.u.
space group: P4/mmm, No. 123

a b c (Å): 3.677 3.677 7.499
angles (deg): 90.00 90.00 90.00
Fractional positions:
La 0.500 0.500 0.500
Pt 0.000 0.000 0.293
Pt 0.000 0.000 0.707
Ba 0.500 0.500 0.000


Model z:
This record from the Alexandria database describes BaLaPt2 at its PBEsol-relaxed geometry. The functional is meta-GGA SCAN.

Computed properties:
magnetic moment: 0.00 μB/f.u.
space group: Fm-3m, No. 225

a b c (Å): 5.197 5.197 5.197
angles (deg): 60.00 60.00 60.00
Fractional positions:
Ba 0.500 0.500 0.500
Pt 0.750 0.750 0.750
Pt 0.250 0.250 0.250
La 0.000 0.000 0.000


Q: Which of them is the least stable? A: model z.


Model w:
This record from the Alexandria database describes BaLaSc2 at its PBEsol-relaxed geometry. The functional is meta-GGA SCAN.

Computed properties:
magnetic moment: 0.00 μB/f.u.
space group: Amm2, No. 38

a b c (Å): 3.457 5.522 6.917
angles (deg): 90.00 104.46 90.00
Fractional positions:
Sc 0.925 0.500 0.225
Ba 0.551 0.000 0.477
La 0.212 0.500 0.798
Sc 0.813 0.000 0.000


Model x:
This record from the Alexandria database describes BaLaSc2 at its PBEsol-relaxed geometry. The functional is meta-GGA SCAN.

Computed properties:
magnetic moment: 0.47 μB/f.u.
space group: R-3m, No. 166

a b c (Å): 3.371 3.371 12.563
angles (deg): 82.29 82.29 60.00
Fractional positions:
Sc 0.084 0.084 0.747
Sc 0.916 0.916 0.253
Ba 0.500 0.500 0.500
La 0.000 0.000 0.000


Model y:
This record from the Alexandria database describes BaLaSc2 at its PBEsol-relaxed geometry. The functional is meta-GGA SCAN.

Computed properties:
magnetic moment: 0.00 μB/f.u.
space group: Immm, No. 71

a b c (Å): 3.701 5.789 6.761
angles (deg): 115.35 105.88 90.00
Fractional positions:
Ba 0.500 0.000 0.000
Sc 0.261 0.261 0.521
Sc 0.739 0.739 0.479
La 0.000 0.500 0.000


Q: Which of them is the least stable? A: model x.